VASP calculation (GGA-PBE) on an optimized crystal structure of Hg3Te4Pt2.

```
9
Lattice="4.011 0.000 0.000 -2.005 7.178 -2.656 0.000 0.012 8.737" Properties=species:S:1:pos:R:3 pbc="T T T"
Hg 2.005 2.325 3.179
Hg 0.000 4.866 2.902
Hg 0.000 0.000 0.000
Te 0.000 0.702 6.016
Te 2.005 6.488 0.065
Te 2.005 2.915 0.121
Te 0.000 4.275 5.960
Pt 0.000 4.707 0.079
Pt 2.005 2.483 6.002
```

Summary:
Space group: C2/m
Calculated total energy (eV for the cell shown): -27.48

VASP calculation (GGA-PBE) on an optimized crystal structure of HgTe3Pt2.

```
12
Lattice="-2.414 -4.798 -1.608 5.494 -0.839 -5.744 1.302 -3.087 7.257" Properties=species:S:1:pos:R:3 pbc="T T T"
Te 0.280 -4.453 -1.944
Te 3.578 -6.358 -1.210
Te 0.804 -2.367 1.115
Te 4.102 -4.272 1.849
Te 1.436 -3.864 4.637
Te 2.946 -4.860 -4.732
Pt 3.398 -1.963 0.756
Pt 0.651 -1.543 3.629
Pt 2.747 -0.420 -2.872
Pt 0.000 0.000 0.000
Hg 1.048 -5.621 1.823
Hg 3.334 -3.104 -1.918
```

Summary:
Space group: P-3m1
Energy relative to the lowest polymorph listed for this composition (meV/atom): 0

VASP calculation (GGA-PBE) on an optimized crystal structure of Hg2TePt2.

```
10
Lattice="-4.454 0.413 -5.849 4.484 -4.492 -3.732 -1.959 -3.018 1.279" Properties=species:S:1:pos:R:3 pbc="T T T"
Te 0.000 0.000 0.000
Te 0.015 -2.040 -4.790
Pt -0.951 -2.526 -7.416
Pt 2.253 -3.711 -5.305
Pt -2.223 -0.369 -4.276
Pt 0.981 -1.554 -2.165
Hg -1.794 -2.078 -1.950
Hg -3.197 -2.698 -5.561
Hg 1.267 -4.400 -2.741
Hg -0.135 -5.020 -6.352
```

Summary:
Space group: P4/mbm
Energy relative to the lowest polymorph listed for this composition (meV/atom): 0

VASP calculation (GGA-PBE) on an optimized crystal structure of HgTe2Pt2.

```
5
Lattice="3.986 0.000 0.000 0.000 3.986 0.000 1.993 1.993 7.939" Properties=species:S:1:pos:R:3 pbc="T T T"
Te 1.993 1.993 2.115
Te 3.986 3.986 5.824
Pt 3.986 1.993 3.969
Pt 1.993 3.986 3.969
Hg 0.000 0.000 0.000
```

Summary:
Space group: I4/mmm
Energy relative to the lowest polymorph listed for this composition (meV/atom): 0

VASP calculation (GGA-PBE) on an optimized crystal structure of HgTePt4.

```
6
Lattice="0.000 3.825 3.825 3.825 0.000 3.825 3.825 3.825 0.000" Properties=species:S:1:pos:R:3 pbc="T T T"
Hg 0.000 0.000 0.000
Pt 2.870 4.780 4.780
Pt 2.870 2.870 2.870
Pt 4.780 2.870 4.780
Pt 4.780 4.780 2.870
Te 5.738 5.738 5.738
```

Summary:
Space group: F-43m
Calculated total energy (eV for the cell shown): -26.71

VASP calculation (GGA-PBE) on an optimized crystal structure of HgTe3Pt2.

```
12
Lattice="-7.067 3.708 0.276 -2.985 2.387 7.011 -0.576 7.367 1.794" Properties=species:S:1:pos:R:3 pbc="T T T"
Te -6.256 5.092 2.446
Te -2.894 7.188 3.163
Te -6.393 9.024 3.300
Te -4.372 8.370 6.635
Te -4.235 4.438 5.781
Te -7.734 6.274 5.917
Pt 0.000 0.000 0.000
Pt -3.533 1.854 0.138
Pt -5.026 3.048 3.644
Pt -1.493 1.194 3.506
Hg -2.556 3.559 2.247
Hg -8.072 9.903 6.834
```

Summary:
Space group: R-3m
Energy relative to the lowest polymorph listed for this composition (meV/atom): 75

Number 1: D(E_F) 0.41 states/eV/atom. Number 2: D(E_F) 0.30 states/eV/atom. Number 3: D(E_F) 0.29 states/eV/atom. Number 4: D(E_F) 0.85 states/eV/atom. Number 5: D(E_F) 0.36 states/eV/atom. Number 6: D(E_F) 0.47 states/eV/atom.